[1]
As2Au, relaxed, DFT PBE; E_tot = -3.8801 eV/atom
1.0
4.922 0.000 0.000
-2.461 4.263 0.000
0.000 0.000 2.787
As Au
2 1
Direct
0.333 0.667 0.500
0.667 0.333 0.500
0.000 0.000 0.000

---

[2]
MgBeTe2, relaxed, DFT PBE; uncorrected formation energy = 87 meV per atom; ΔE to the lowest computed polymorph = 661.2 meV per atom
1.0
-4.814 -2.972 1.773
0.081 -4.487 -3.874
0.459 -4.309 1.554
Be Mg Te
1 1 2
Direct
0.500 0.000 0.500
0.000 0.500 0.500
0.500 0.500 0.000
0.000 0.000 0.000

---

[3]
HgMo2W, relaxed, DFT PBE; E_tot = -8.2091 eV/atom
1.0
5.321 0.008 0.007
4.281 3.161 0.007
1.925 0.635 4.065
Mo Hg W
2 1 1
Direct
0.018 0.018 0.981
0.482 0.482 0.519
0.250 0.250 0.250
0.750 0.750 0.750

---

[4]
Sr2CaSnP, relaxed, DFT PBE; E_tot = -3.6666 eV/atom
1.0
5.806 0.000 0.000
0.000 5.806 0.000
0.000 0.000 5.403
Ca Sr Sn P
1 2 1 1
Direct
0.000 0.000 0.500
0.000 0.500 0.000
0.500 0.000 0.000
0.500 0.500 0.500
0.000 0.000 0.000

---

[5]
K3BN2, relaxed, DFT PBE; uncorrected formation energy = -424 meV per atom
1.0
-4.955 3.105 -2.548
-5.133 -3.014 2.291
-2.115 3.770 4.689
N B K
4 2 6
Direct
0.100 0.100 0.100
0.900 0.900 0.900
0.600 0.600 0.600
0.400 0.400 0.400
0.000 0.000 0.000
0.500 0.500 0.500
0.750 0.481 0.019
0.019 0.750 0.481
0.981 0.250 0.519
0.250 0.519 0.981
0.481 0.019 0.750
0.519 0.981 0.250

---

[6]
Tb2DyEr2Sc, relaxed, DFT PBE; E_tot = -4.7907 eV/atom
1.0
-5.423 0.905 -0.216
-1.180 -5.186 7.911
0.791 5.652 3.823
Er Dy Tb Sc
4 2 4 2
Direct
0.000 0.667 0.252
0.500 0.167 0.248
0.000 0.333 0.748
0.500 0.833 0.752
0.500 0.500 0.000
0.000 0.000 0.500
0.000 0.333 0.253
0.500 0.167 0.753
0.000 0.667 0.747
0.500 0.833 0.247
0.000 0.000 0.000
0.500 0.500 0.500

---

[7]
Te4Pd2Au, relaxed, DFT PBE; uncorrected formation energy = -48 meV per atom; ΔE to the lowest computed polymorph = 164.1 meV per atom
1.0
-0.424 4.373 -3.906
-4.307 -2.890 -2.768
-1.371 1.758 6.540
Te Pd Au
4 2 1
Direct
0.907 0.311 0.218
0.093 0.093 0.782
0.689 0.689 0.782
0.311 0.907 0.218
0.250 0.750 0.500
0.750 0.250 0.500
0.500 0.500 0.000

---

[8]
Sc4TaCl, relaxed, DFT PBE; uncorrected formation energy = 585 meV per atom
1.0
0.000 4.116 4.116
4.116 0.000 4.116
4.116 4.116 0.000
Ta Sc Cl
1 4 1
Direct
0.750 0.750 0.750
0.865 0.378 0.378
0.378 0.378 0.865
0.378 0.865 0.378
0.378 0.378 0.378
0.000 0.000 0.000

---

[9]
Ce3FeSb, relaxed, DFT PBE; uncorrected formation energy = -380 meV per atom; ΔE to the lowest computed polymorph = 120.3 meV per atom
1.0
-4.423 -0.966 3.176
4.228 -4.265 2.161
0.970 6.930 3.490
Ce Sb Fe
6 2 2
Direct
0.176 0.254 0.639
0.447 0.767 0.048
0.824 0.746 0.361
0.164 0.264 0.202
0.553 0.233 0.952
0.836 0.736 0.798
0.669 0.243 0.407
0.331 0.757 0.593
0.056 0.310 0.910
0.944 0.690 0.090

---

[10]
Rb3NaCl4, relaxed, DFT PBE; uncorrected formation energy = -1871 meV per atom
1.0
-0.121 -0.376 4.557
1.263 -7.793 -0.610
6.972 3.722 0.492
Cl Rb Na
4 3 1
Direct
0.500 0.766 0.234
0.000 0.229 0.229
0.000 0.771 0.771
0.500 0.234 0.766
0.000 0.500 0.000
0.500 0.500 0.500
0.000 0.000 0.500
0.500 0.000 0.000

---

[11]
Na2HCF, relaxed, DFT PBE; E_tot = -3.0580 eV/atom
1.0
4.638 0.000 0.000
0.000 4.638 0.000
0.000 0.000 3.050
H Na C F
1 2 1 1
Direct
0.000 0.000 0.500
0.000 0.500 0.000
0.500 0.000 0.000
0.500 0.500 0.500
0.000 0.000 0.000

---

[12]
PrTm3Pb3, relaxed, DFT PBE; ΔE to the lowest computed polymorph = 202.1 meV per atom
1.0
-0.373 -8.712 3.190
7.636 -4.021 3.426
0.981 -2.076 7.960
Pr Tm Pb
2 6 6
Direct
0.667 0.667 0.999
0.333 0.333 0.001
0.097 0.383 0.719
0.383 0.802 0.719
0.903 0.617 0.281
0.802 0.097 0.719
0.198 0.903 0.281
0.617 0.198 0.281
0.281 0.560 0.234
0.560 0.924 0.234
0.076 0.719 0.766
0.719 0.440 0.766
0.924 0.281 0.234
0.440 0.076 0.766

---

[13]
LiSn3Br, relaxed, DFT PBE; uncorrected formation energy = 143 meV per atom; ΔE to the lowest computed polymorph = 0.0 meV per atom
1.0
5.166 0.000 0.000
0.000 5.166 0.000
0.000 0.000 5.166
Sn Br Li
3 1 1
Direct
0.500 0.000 0.000
0.000 0.000 0.500
0.000 0.500 0.000
0.500 0.500 0.500
0.000 0.000 0.000

---

[14]
BeCoSe2, relaxed, DFT PBE; uncorrected formation energy = -58 meV per atom
1.0
-0.047 -2.337 -2.590
2.829 -1.930 -0.667
-0.919 -5.369 2.511
Co Se Be
1 2 1
Direct
0.250 0.250 0.250
0.000 0.000 0.001
0.500 0.500 0.499
0.750 0.750 0.750

---

[15]
PRh2Se, relaxed, DFT PBE; uncorrected formation energy = 220 meV per atom
1.0
-1.672 -0.176 -2.379
0.205 -4.124 0.161
-4.177 -0.093 2.943
Se P Rh
1 1 2
Direct
0.500 0.500 0.000
0.000 0.500 0.500
0.000 0.000 0.000
0.500 0.000 0.500

---

[16]
Dy4TePd, relaxed, DFT PBE; uncorrected formation energy = -534 meV per atom; ΔE to the lowest computed polymorph = 212.4 meV per atom
1.0
6.966 0.000 0.000
0.000 7.061 0.290
-3.483 -2.471 7.230
Dy Te Pd
8 2 2
Direct
0.336 0.032 0.812
0.475 0.532 0.812
0.232 0.146 0.319
0.087 0.646 0.319
0.768 0.854 0.681
0.525 0.468 0.188
0.913 0.354 0.681
0.664 0.968 0.188
0.182 0.750 0.000
0.818 0.250 0.000
0.500 0.500 0.500
0.000 0.000 0.500

---

[17]
CeScPSe, relaxed, DFT PBE; uncorrected formation energy = -1644 meV per atom
1.0
-0.003 3.678 -1.476
-2.761 2.597 1.157
3.003 4.071 4.817
Se P Sc Ce
1 1 1 1
Direct
0.757 0.757 0.728
0.242 0.242 0.273
0.507 0.507 0.480
0.994 0.994 0.019

---

[18]
Cr2Co5Mo, relaxed, DFT PBE; E_tot = -8.0675 eV/atom
1.0
-1.788 1.304 -1.200
-5.456 -3.433 4.400
4.009 4.514 1.572
Cr Co Mo
2 5 1
Direct
0.748 0.248 0.497
0.252 0.752 0.503
0.000 0.500 0.000
0.634 0.404 0.267
0.366 0.137 0.733
0.366 0.596 0.733
0.634 0.863 0.267
0.000 0.000 0.000

---

[19]
ReSeBr, relaxed, DFT PBE; uncorrected formation energy = 242 meV per atom; ΔE to the lowest computed polymorph = 124.5 meV per atom
1.0
4.603 -0.001 0.000
-0.001 6.952 -0.421
0.000 -0.083 4.965
Se Re Br
2 2 2
Direct
0.161 0.531 0.622
0.661 0.069 0.722
0.161 0.878 0.659
0.661 0.722 0.685
0.661 0.599 0.151
0.161 0.001 0.193

---

[20]
Pu2TaNbN4, relaxed, DFT PBE; uncorrected formation energy = -1231 meV per atom
1.0
3.258 0.000 0.000
0.000 5.664 0.103
0.000 -1.976 5.384
N Pu Ta Nb
4 2 1 1
Direct
0.000 0.747 0.223
0.500 0.235 0.220
0.500 0.765 0.780
0.000 0.253 0.777
0.000 0.500 0.500
0.500 0.000 0.500
0.000 0.000 0.000
0.500 0.500 0.000

---

[21]
Ac3InCu4, relaxed, DFT PBE; E_tot = -4.0288 eV/atom
1.0
4.304 0.000 0.000
0.000 6.514 0.000
-2.152 -3.257 7.774
Cu In Ac
4 1 3
Direct
0.623 0.435 0.247
0.623 0.812 0.247
0.377 0.565 0.753
0.377 0.188 0.753
0.500 0.000 0.000
0.000 0.500 0.000
0.810 0.810 0.620
0.190 0.190 0.380

---

[22]
Pm14PrCd, relaxed, DFT PBE; E_tot = -4.5242 eV/atom
1.0
-6.573 2.897 0.665
-1.238 -4.132 5.782
3.850 7.342 6.072
Pr Pm Cd
1 14 1
Direct
0.375 0.625 0.000
0.875 0.624 0.500
0.375 0.625 0.500
0.875 0.626 0.000
0.123 0.877 0.248
0.123 0.373 0.753
0.374 0.125 0.000
0.627 0.877 0.753
0.627 0.373 0.246
0.627 0.877 0.247
0.376 0.125 0.500
0.627 0.373 0.754
0.123 0.877 0.752
0.123 0.373 0.247
0.875 0.125 0.500
0.875 0.125 0.000

---

[23]
RbNb2Mo, relaxed, DFT PBE; ΔE to the lowest computed polymorph = 253.8 meV per atom
1.0
-2.651 4.294 -2.140
-3.489 -3.403 -2.507
-8.160 0.677 4.447
Mo Nb Rb
2 4 2
Direct
0.750 0.250 0.500
0.000 0.000 0.000
0.900 0.625 0.250
0.850 0.125 0.250
0.375 0.150 0.750
0.875 0.100 0.750
0.500 0.500 0.000
0.250 0.750 0.500

---

[24]
SnRhSe2, relaxed, DFT PBE; uncorrected formation energy = 187 meV per atom
1.0
-0.623 -8.224 -0.837
3.073 -7.696 0.228
0.268 -7.756 2.912
Rh Se Sn
1 2 1
Direct
0.000 0.000 0.000
0.902 0.902 0.902
0.098 0.098 0.098
0.500 0.500 0.500

---

[25]
AcYHoGa, relaxed, DFT PBE; E_tot = -4.4874 eV/atom
1.0
-4.483 2.828 -1.410
-4.508 -2.651 -1.653
-4.443 -0.122 3.214
Ga Y Ho Ac
1 1 1 1
Direct
0.000 0.000 0.000
0.750 0.750 0.750
0.250 0.250 0.250
0.500 0.500 0.500

---

| no. | spin magnetization (μB per formula unit) |
| --- | --- |
| 1 | 0.00 |
| 2 | 0.00 |
| 3 | 0.00 |
| 4 | 0.00 |
| 5 | 0.00 |
| 6 | 0.00 |
| 7 | 0.00 |
| 8 | 0.00 |
| 9 | 1.23 |
| 10 | 0.00 |
| 11 | 1.96 |
| 12 | 0.00 |
| 13 | 0.00 |
| 14 | 0.00 |
| 15 | 0.00 |
| 16 | 0.00 |
| 17 | 0.83 |
| 18 | 4.01 |
| 19 | 0.00 |
| 20 | 9.13 |
| 21 | 0.00 |
| 22 | 0.00 |
| 23 | 0.00 |
| 24 | 0.32 |
| 25 | 0.68 |